Below is NaHf3Cr after structural relaxation, with properties calculated at the PBE level.

a = 4.9350 Å, b = 4.9350 Å, c = 4.9350 Å
α = 90.00°, β = 90.00°, γ = 90.00°
Closest atoms and distances in Å follow each position.
Space group Pm-3m (No. 221)
Asymmetric unit:
1 Na 0.0000 0.0000 0.0000 (multiplicity 1)  6 Hf 2.47
2 Hf 0.0000 0.0000 0.5000 (multiplicity 3)  2 Na 2.47
3 Cr 0.5000 0.5000 0.5000 (multiplicity 1)  12 Hf 3.49

**ΔH_f (0 K)**: 1.854 eV per atom
**Offset from the most stable computed form**: 1133 meV/atom